Entry 1:
LaPrNdH | PBE | relaxed

Calculated values
As for the total magnetic moment: 0.000 Bohr magnetons per cell. The total energy comes out at -35.36 eV/cell. For the volume, the calculation gives 27.57 A^3/atom. As for the crystal system: tetragonal.

```
LaPrNdH
1.0
4.714 0.000 0.000
0.000 4.714 0.000
0.000 0.000 9.926
Pr La Nd H
2 2 2 2
Direct
0.250 0.250 0.765
0.750 0.750 0.235
0.750 0.750 0.903
0.250 0.250 0.097
0.250 0.750 0.500
0.750 0.250 0.500
0.750 0.250 0.000
0.250 0.750 0.000
```



Entry 2:
LaNdH6Rh2 | PBE | relaxed

Calculated values
As for the total magnetic moment: 0.000 Bohr magnetons per cell. The total energy comes out at -100.10 eV/cell. For the volume, the calculation gives 11.66 A^3/atom. As for the crystal system: monoclinic.

```
LaNdH6Rh2
1.0
6.181 -0.257 -0.043
-1.012 6.103 -0.043
-1.508 -1.705 6.253
H Rh Nd La
12 4 2 2
Direct
0.929 0.425 0.113
0.455 0.694 0.124
0.306 0.545 0.376
0.545 0.306 0.876
0.425 0.929 0.613
0.071 0.575 0.887
0.838 0.788 0.482
0.162 0.212 0.518
0.575 0.071 0.387
0.694 0.455 0.624
0.788 0.838 0.982
0.212 0.162 0.018
0.063 0.322 0.312
0.937 0.678 0.688
0.322 0.063 0.812
0.678 0.937 0.188
0.405 0.595 0.750
0.595 0.405 0.250
0.150 0.850 0.250
0.850 0.150 0.750
```



Entry 3:
La2Nd2Sb2H | PBE | relaxed

Calculated values
As for the total magnetic moment: 0.825 Bohr magnetons per cell. The total energy comes out at -37.04 eV/cell. For the volume, the calculation gives 27.95 A^3/atom. As for the crystal system: tetragonal.

```
La2Nd2Sb2H
1.0
-1.156 3.946 -2.244
-4.460 -1.419 -0.198
1.196 2.712 9.039
La Nd Sb H
2 2 2 1
Direct
0.178 0.178 0.356
0.822 0.822 0.644
0.000 0.500 0.000
0.500 0.000 0.000
0.635 0.635 0.270
0.365 0.365 0.730
0.000 0.000 0.000
```



Entry 4:
LaNdSm2H | PBE | relaxed

Calculated values
As for the total magnetic moment: 0.000 Bohr magnetons per cell. The total energy comes out at -23.36 eV/cell. For the volume, the calculation gives 27.53 A^3/atom. As for the crystal system: tetragonal.

```
LaNdSm2H
1.0
5.169 0.000 0.000
0.000 5.160 0.000
0.000 0.000 5.160
La Sm Nd H
1 2 1 1
Direct
0.500 0.500 0.500
0.000 0.500 0.000
0.000 0.000 0.500
0.500 0.000 0.000
0.000 0.000 0.000
```



Entry 5:
La4Nd2Sn3H2 | PBE | relaxed

Calculated values
As for the total magnetic moment: 0.002 Bohr magnetons per cell. The total energy comes out at -54.15 eV/cell. For the volume, the calculation gives 28.31 A^3/atom. As for the crystal system: tetragonal.

```
La4Nd2Sn3H2
1.0
-1.664 -1.540 4.306
2.327 -4.230 -0.614
10.306 7.881 4.050
H Sn Nd La
2 3 2 4
Direct
0.393 0.393 0.786
0.607 0.607 0.214
0.824 0.824 0.649
0.000 0.000 0.000
0.176 0.176 0.351
0.702 0.702 0.403
0.298 0.298 0.597
0.084 0.584 0.167
0.584 0.084 0.167
0.416 0.916 0.833
0.916 0.416 0.833
```



Entry 6:
La2Nd2Sn2H | PBE | relaxed

Calculated values
As for the total magnetic moment: 0.630 Bohr magnetons per cell. The total energy comes out at -35.22 eV/cell. For the volume, the calculation gives 28.77 A^3/atom. As for the crystal system: tetragonal.

```
La2Nd2Sn2H
1.0
-2.941 -2.409 -2.882
3.707 -2.450 -1.735
-1.505 -3.711 8.584
La H Sn Nd
2 1 2 2
Direct
0.179 0.179 0.358
0.821 0.821 0.642
0.000 0.000 0.000
0.634 0.634 0.268
0.366 0.366 0.732
0.500 0.000 0.000
0.000 0.500 0.000
```



Entry 7:
La2Nd4Sn3H2 | PBE | relaxed

Calculated values
As for the total magnetic moment: 0.000 Bohr magnetons per cell. The total energy comes out at -54.09 eV/cell. For the volume, the calculation gives 28.02 A^3/atom. As for the crystal system: tetragonal.

```
La2Nd4Sn3H2
1.0
-0.590 -0.867 4.755
4.416 -2.046 0.175
3.337 13.023 0.296
La Nd H Sn
2 4 2 3
Direct
0.301 0.301 0.602
0.699 0.699 0.398
0.918 0.418 0.837
0.418 0.918 0.837
0.082 0.582 0.163
0.582 0.082 0.163
0.399 0.399 0.798
0.601 0.601 0.202
0.172 0.172 0.345
0.000 0.000 0.000
0.828 0.828 0.655
```



Entry 8:
LaTbNd2H | PBE | relaxed

Calculated values
As for the total magnetic moment: 0.000 Bohr magnetons per cell. The total energy comes out at -23.32 eV/cell. For the volume, the calculation gives 27.43 A^3/atom. As for the crystal system: tetragonal.

```
LaTbNd2H
1.0
-0.908 -1.034 -4.940
-4.616 -1.961 1.259
-2.143 4.670 -0.583
La Nd H Tb
1 2 1 1
Direct
0.500 0.500 0.500
0.000 0.000 0.500
0.000 0.500 0.000
0.000 0.000 0.000
0.500 0.000 0.000
```



Entry 9:
La2Nd4Tl3H2 | PBE | relaxed

Calculated values
As for the total magnetic moment: 0.000 Bohr magnetons per cell. The total energy comes out at -46.24 eV/cell. For the volume, the calculation gives 28.44 A^3/atom. As for the crystal system: tetragonal.

```
La2Nd4Tl3H2
1.0
4.943 0.000 0.000
0.000 4.943 0.000
-2.472 -2.472 12.803
Tl H La Nd
3 2 2 4
Direct
0.172 0.172 0.344
0.000 0.000 0.000
0.828 0.828 0.656
0.601 0.601 0.202
0.399 0.399 0.798
0.301 0.301 0.603
0.699 0.699 0.397
0.583 0.083 0.167
0.083 0.583 0.167
0.917 0.417 0.833
0.417 0.917 0.833
```



Entry 10:
LaNd2TlH | PBE | relaxed

Calculated values
As for the total magnetic moment: 0.000 Bohr magnetons per cell. The total energy comes out at -21.77 eV/cell. For the volume, the calculation gives 25.66 A^3/atom. As for the crystal system: tetragonal.

```
LaNd2TlH
1.0
4.903 0.000 0.000
0.000 5.116 0.000
0.000 0.000 5.116
H Tl La Nd
1 1 1 2
Direct
0.000 0.000 0.000
0.500 0.500 0.500
0.500 0.000 0.000
0.000 0.000 0.500
0.000 0.500 0.000
```



Entry 11:
LaNd2TmH | PBE | relaxed

Calculated values
As for the total magnetic moment: 0.000 Bohr magnetons per cell. The total energy comes out at -23.13 eV/cell. For the volume, the calculation gives 26.99 A^3/atom. As for the crystal system: tetragonal.

```
LaNd2TmH
1.0
5.075 0.000 0.000
0.000 5.157 0.000
0.000 0.000 5.157
Nd La Tm H
2 1 1 1
Direct
0.000 0.000 0.500
0.000 0.500 0.000
0.500 0.500 0.500
0.500 0.000 0.000
0.000 0.000 0.000
```



Entry 12:
LaNd2YH | PBE | relaxed

Calculated values
As for the total magnetic moment: 0.000 Bohr magnetons per cell. The total energy comes out at -25.15 eV/cell. For the volume, the calculation gives 27.46 A^3/atom. As for the crystal system: tetragonal.

```
LaNd2YH
1.0
5.113 0.000 0.000
0.000 5.182 0.000
0.000 0.000 5.182
Nd La Y H
2 1 1 1
Direct
0.000 0.000 0.500
0.000 0.500 0.000
0.500 0.500 0.500
0.500 0.000 0.000
0.000 0.000 0.000
```